# 1
DFT (PBE with a Hubbard U) results for ZnCrF5 after structural relaxation.

Output
ΔE to the lowest computed polymorph, meV per atom: 2.1

CIF file:
```
data_ZnCrF5
_chemical_formula_sum 'Zn4 Cr4 F20'
_space_group_name_H-M_alt 'C 1 2/c 1'
_space_group_IT_number 15
_cell_length_a 8.4690
_cell_length_b 6.3816
_cell_length_c 7.5220
_cell_angle_alpha 90.00
_cell_angle_beta 116.05
_cell_angle_gamma 90.00
loop_
_space_group_symop_operation_xyz
'x,y,z'
'-x,-y,-z'
'-x,y,-z+1/2'
'x,-y,z+1/2'
'x+1/2,y+1/2,z'
'-x+1/2,-y+1/2,-z'
'-x+1/2,y+1/2,-z+1/2'
'x+1/2,-y+1/2,z+1/2'
loop_
_atom_site_label
_atom_site_fract_x
_atom_site_fract_y
_atom_site_fract_z
Zn1 0.0000 0.0048 0.2500
Cr1 0.0000 0.5000 0.0000
F1 0.0000 0.4128 0.2500
F2 0.0291 0.2028 0.9681
F3 0.2499 0.0513 0.3640
```

***

# 2
DFT (PBE with a Hubbard U) results for Zn3CrF9 after structural relaxation.

Output
Final energy, eV per atom: -4.434

CIF file:
```
data_Zn3CrF9
_chemical_formula_sum 'Zn6 Cr2 F18'
_space_group_name_H-M_alt 'P 1 21/m 1'
_space_group_IT_number 11
_cell_length_a 5.0835
_cell_length_b 7.5457
_cell_length_c 8.6746
_cell_angle_alpha 90.00
_cell_angle_beta 96.58
_cell_angle_gamma 90.00
loop_
_space_group_symop_operation_xyz
'x,y,z'
'-x,-y,-z'
'-x,y+1/2,-z'
'x,-y+1/2,z'
loop_
_atom_site_label
_atom_site_fract_x
_atom_site_fract_y
_atom_site_fract_z
Zn1 0.0000 0.0000 0.0000
Zn2 0.4739 0.0183 0.6847
Cr1 0.0097 0.2500 0.4123
F1 0.1116 0.2500 0.9808
F2 0.1242 0.5840 0.7463
F3 0.2462 0.2500 0.6152
F4 0.2552 0.5752 0.4761
F5 0.3435 0.2500 0.3259
F6 0.3431 0.5636 0.1209
```

***

# 3
DFT (PBE with a Hubbard U) results for ZnCr2F12 after structural relaxation.

Output
ΔE to the lowest computed polymorph, meV per atom: 0.0

CIF file:
```
data_ZnCr2F12
_chemical_formula_sum 'Zn1 Cr2 F12'
_space_group_name_H-M_alt 'P -1'
_space_group_IT_number 2
_cell_length_a 5.1175
_cell_length_b 5.3507
_cell_length_c 8.9527
_cell_angle_alpha 74.22
_cell_angle_beta 89.53
_cell_angle_gamma 62.03
loop_
_space_group_symop_operation_xyz
'x,y,z'
'-x,-y,-z'
loop_
_atom_site_label
_atom_site_fract_x
_atom_site_fract_y
_atom_site_fract_z
Zn1 0.0000 0.0000 0.0000
Cr1 0.2677 0.5026 0.7436
F1 0.0096 0.2782 0.4198
F2 0.0311 0.7289 0.8682
F3 0.0864 0.2700 0.8149
F4 0.4271 0.7335 0.7046
F5 0.4448 0.7429 0.0754
F6 0.4884 0.2588 0.6430
```

***

# 4
DFT (PBE with a Hubbard U) results for ZnCr2F12 after structural relaxation.

Output
ΔE to the lowest computed polymorph, meV per atom: 205.2

CIF file:
```
data_ZnCr2F12
_chemical_formula_sum 'Zn1 Cr2 F12'
_space_group_name_H-M_alt 'P -1'
_space_group_IT_number 2
_cell_length_a 5.1413
_cell_length_b 5.2651
_cell_length_c 10.0994
_cell_angle_alpha 76.79
_cell_angle_beta 76.78
_cell_angle_gamma 62.13
loop_
_space_group_symop_operation_xyz
'x,y,z'
'-x,-y,-z'
loop_
_atom_site_label
_atom_site_fract_x
_atom_site_fract_y
_atom_site_fract_z
Zn1 0.0000 0.0000 0.0000
Cr1 0.1912 0.5443 0.3548
F1 0.0828 0.7552 0.8769
F2 0.1486 0.6150 0.1790
F3 0.1646 0.4679 0.5764
F4 0.2202 0.8525 0.3692
F5 0.4088 0.9262 0.9416
F6 0.4893 0.7811 0.6366
```